YCoAs3 | PBE | relaxed

Lattice parameters (Å, degrees): 5.3609 5.3609 5.3609 90.00 90.00 90.00
Atoms (fractional coordinates):
Y 0.0000 0.0000 0.0000
Co 0.5000 0.5000 0.5000
As 0.0000 0.0000 0.5000
As 0.0000 0.5000 0.0000
As 0.5000 0.0000 0.0000

Calculated values
SG = No. 221
Energy above the most stable polymorph in this dataset = 1221 meV per atom
Energy = -4.449 eV/atom
Density = 4.016 g/cm3

---

Ce2ErPuN4 | PBE | relaxed

Lattice parameters (Å, degrees): 6.0672 3.5164 6.0906 90.00 109.49 90.00
Atoms (fractional coordinates):
Ce 0.0000 0.0000 0.0000
Ce 0.5000 0.5000 0.0000
Er 0.0000 0.5000 0.5000
Pu 0.5000 0.0000 0.5000
N 0.2479 0.0000 0.7425
N 0.2546 0.5000 0.2622
N 0.7454 0.5000 0.7378
N 0.7521 0.0000 0.2575

Calculated values
SG = No. 10
Formation energy from raw total energies = -1.493 eV/atom
Energy = -9.501 eV/atom
Density = 10.133 g/cm3

---

Zr2CoAs | PBE | relaxed

Lattice parameters (Å, degrees): 5.5323 5.5323 5.5323 139.68 139.68 58.34
Atoms (fractional coordinates):
Zr 0.0000 0.0000 0.0000
Zr 0.7500 0.2500 0.5000
Co 0.5000 0.5000 0.0000
As 0.2500 0.7500 0.5000

Calculated values
SG = No. 119
Energy = -7.688 eV/atom
Density = 7.477 g/cm3

---

La2Bi2Pd | PBE | relaxed

Lattice parameters (Å, degrees): 7.6873 7.6873 4.9953 90.00 90.00 90.00
Atoms (fractional coordinates):
La 0.1686 0.3314 0.0000
La 0.3314 0.8314 0.0000
La 0.6686 0.1686 0.0000
La 0.8314 0.6686 0.0000
Bi 0.1460 0.6460 0.5000
Bi 0.3540 0.1460 0.5000
Bi 0.6460 0.8540 0.5000
Bi 0.8540 0.3540 0.5000
Pd 0.0000 0.0000 0.5000
Pd 0.5000 0.5000 0.5000

Calculated values
SG = No. 127
Energy above the most stable polymorph in this dataset = 0 meV per atom
Energy = -5.240 eV/atom
Density = 9.025 g/cm3

---

BaNd2Cu | PBE | relaxed

Lattice parameters (Å, degrees): 11.3266 11.3266 11.3266 19.92 19.92 19.92
Atoms (fractional coordinates):
Ba 0.0000 0.0000 0.0000
Nd 0.1123 0.1123 0.1123
Nd 0.8877 0.8877 0.8877
Cu 0.5000 0.5000 0.5000

Calculated values
SG = No. 166
Energy above the most stable polymorph in this dataset = 172 meV per atom
Energy = -3.671 eV/atom
Density = 5.510 g/cm3

---

Pr3CuNi8 | PBE | relaxed

Lattice parameters (Å, degrees): 8.8418 8.8418 8.8418 33.29 33.29 33.29
Atoms (fractional coordinates):
Pr 0.0000 0.0000 0.0000
Pr 0.1296 0.1296 0.1296
Pr 0.6107 0.6107 0.6107
Cu 0.4896 0.4896 0.4896
Ni 0.0566 0.0566 0.5617
Ni 0.0566 0.5617 0.0566
Ni 0.0671 0.5603 0.5603
Ni 0.3098 0.3098 0.3098
Ni 0.5603 0.0671 0.5603
Ni 0.5603 0.5603 0.0671
Ni 0.5617 0.0566 0.0566
Ni 0.8108 0.8108 0.8108

Calculated values
SG = No. 160
Energy = -5.635 eV/atom
Density = 8.561 g/cm3

---

ReMo2Ru | PBE | relaxed

Lattice parameters (Å, degrees): 2.7291 2.7291 8.2417 90.00 90.00 90.00
Atoms (fractional coordinates):
Re 0.0000 0.0000 0.0000
Mo 0.0000 0.0000 0.4654
Mo 0.5000 0.5000 0.7375
Ru 0.5000 0.5000 0.2205

Calculated values
SG = No. 99
Energy above the most stable polymorph in this dataset = 26 meV per atom
Energy = -10.709 eV/atom
Density = 12.962 g/cm3

---

Sc2TlPb | PBE | relaxed

Lattice parameters (Å, degrees): 3.8058 4.7810 5.5837 90.00 101.44 90.00
Atoms (fractional coordinates):
Sc 0.0000 0.0000 0.0000
Sc 0.0000 0.5000 0.5000
Tl 0.5000 0.0000 0.5000
Pb 0.5000 0.5000 0.0000

Calculated values
SG = No. 10
Energy above the most stable polymorph in this dataset = 52 meV per atom
Energy = -4.951 eV/atom
Density = 8.363 g/cm3

---

CaTlP | PBE | relaxed

Lattice parameters (Å, degrees): 5.0079 5.0079 6.6847 90.00 90.00 90.00
Atoms (fractional coordinates):
Ca 0.2500 0.7500 0.0000
Ca 0.7500 0.2500 0.0000
Tl 0.2500 0.2500 0.3736
Tl 0.7500 0.7500 0.6264
P 0.2500 0.2500 0.7790
P 0.7500 0.7500 0.2210

Calculated values
SG = No. 129
Energy above the most stable polymorph in this dataset = 23 meV per atom
Energy = -3.809 eV/atom
Density = 5.456 g/cm3

---

Y2P2PbN6 | PBE | relaxed

Lattice parameters (Å, degrees): 5.9021 6.0305 6.3615 100.89 112.77 111.23
Atoms (fractional coordinates):
Y 0.1252 0.2029 0.3262
Y 0.8748 0.7971 0.6738
P 0.2050 0.7550 0.2649
P 0.7950 0.2450 0.7351
Pb 0.5000 0.5000 0.0000
N 0.0084 0.7728 0.3753
N 0.2023 0.8844 0.0702
N 0.3938 0.6249 0.3571
N 0.6062 0.3751 0.6429
N 0.7977 0.1156 0.9298
N 0.9916 0.2272 0.6247

Calculated values
SG = No. 2
Formation energy from raw total energies = -0.642 eV/atom
Energy = -7.679 eV/atom
Density = 4.905 g/cm3

---

AgPPb2 | PBE | relaxed

Lattice parameters (Å, degrees): 3.6160 3.6160 7.3659 90.00 90.00 90.00
Atoms (fractional coordinates):
Ag 0.0000 0.0000 0.0000
P 0.0000 0.0000 0.5000
Pb 0.5000 0.5000 0.2668
Pb 0.5000 0.5000 0.7332

Calculated values
SG = No. 123
Energy = -3.667 eV/atom
Density = 9.538 g/cm3

---

PmHoS2O | PBE | relaxed

Lattice parameters (Å, degrees): 3.9181 3.9181 13.9320 90.00 90.00 90.00
Atoms (fractional coordinates):
Pm 0.2500 0.2500 0.0875
Pm 0.7500 0.7500 0.9125
Ho 0.2500 0.2500 0.6219
Ho 0.7500 0.7500 0.3781
S 0.2500 0.2500 0.4099
S 0.2500 0.2500 0.8004
S 0.7500 0.7500 0.1996
S 0.7500 0.7500 0.5901
O 0.2500 0.7500 0.0000
O 0.7500 0.2500 0.0000

Calculated values
SG = No. 129
Formation energy from raw total energies = -2.507 eV/atom
Energy = -7.015 eV/atom
Density = 6.057 g/cm3

---

ReS2Br | PBE | relaxed

Lattice parameters (Å, degrees): 7.9057 7.9057 7.9057 26.06 26.06 26.06
Atoms (fractional coordinates):
Re 0.0000 0.0000 0.0000
S 0.3892 0.3892 0.3892
S 0.6108 0.6108 0.6108
Br 0.5000 0.5000 0.5000

Calculated values
SG = No. 166
Energy above the most stable polymorph in this dataset = 0 meV per atom
Formation energy from raw total energies = 0.019 eV/atom
Energy = -5.575 eV/atom
Density = 6.527 g/cm3

---

Pr2NiPt | PBE | relaxed

Lattice parameters (Å, degrees): 5.0888 5.0888 3.5741 90.00 90.00 90.00
Atoms (fractional coordinates):
Pr 0.0000 0.5000 0.0000
Pr 0.5000 0.0000 0.0000
Ni 0.0000 0.0000 0.5000
Pt 0.5000 0.5000 0.5000

Calculated values
SG = No. 123
Energy = -5.943 eV/atom
Density = 9.609 g/cm3

---

Ca2InSi2Ir5 | PBE | relaxed

Lattice parameters (Å, degrees): 9.9748 9.9748 3.4229 90.00 90.00 90.00
Atoms (fractional coordinates):
Ca 0.1753 0.3247 0.0000
Ca 0.3247 0.8247 0.0000
Ca 0.6753 0.1753 0.0000
Ca 0.8247 0.6753 0.0000
In 0.0000 0.0000 0.0000
In 0.5000 0.5000 0.0000
Si 0.1239 0.6239 0.0000
Si 0.3761 0.1239 0.0000
Si 0.6239 0.8761 0.0000
Si 0.8761 0.3761 0.0000
Ir 0.0000 0.5000 0.5000
Ir 0.0680 0.7828 0.5000
Ir 0.2172 0.0680 0.5000
Ir 0.2828 0.5680 0.5000
Ir 0.4320 0.2828 0.5000
Ir 0.5000 0.0000 0.5000
Ir 0.5680 0.7172 0.5000
Ir 0.7172 0.4320 0.5000
Ir 0.7828 0.9320 0.5000
Ir 0.9320 0.2172 0.5000

Calculated values
SG = No. 127
Formation energy from raw total energies = -0.589 eV/atom
Energy = -6.779 eV/atom
Density = 11.821 g/cm3

---

PuTa2CoN4 | PBE | relaxed

Lattice parameters (Å, degrees): 5.5456 5.5456 10.7781 90.00 90.00 146.91
Atoms (fractional coordinates):
Pu 0.1100 0.8900 0.7500
Pu 0.8900 0.1100 0.2500
Ta 0.3693 0.6307 0.5578
Ta 0.3693 0.6307 0.9422
Ta 0.6307 0.3693 0.0578
Ta 0.6307 0.3693 0.4422
Co 0.1604 0.8396 0.2500
Co 0.8396 0.1604 0.7500
N 0.0000 0.0000 0.0000
N 0.0000 0.0000 0.5000
N 0.2720 0.7280 0.1106
N 0.2720 0.7280 0.3894
N 0.4506 0.5494 0.7500
N 0.5494 0.4506 0.2500
N 0.7280 0.2720 0.6106
N 0.7280 0.2720 0.8894

Calculated values
SG = No. 63
Formation energy from raw total energies = -0.949 eV/atom
Energy = -10.755 eV/atom
Density = 13.231 g/cm3

---

ZrTi7Ga4 | PBE | relaxed

Lattice parameters (Å, degrees): 6.3795 6.3795 9.0378 121.58 121.58 44.54
Atoms (fractional coordinates):
Zr 0.0000 0.0000 0.0000
Ti 0.0560 0.0560 0.3897
Ti 0.2159 0.2159 0.8820
Ti 0.3084 0.3084 0.3753
Ti 0.5000 0.5000 0.0000
Ti 0.6916 0.6916 0.6247
Ti 0.7841 0.7841 0.1180
Ti 0.9440 0.9440 0.6103
Ga 0.3088 0.3088 0.6680
Ga 0.4394 0.4394 0.2369
Ga 0.5606 0.5606 0.7631
Ga 0.6912 0.6912 0.3320

Calculated values
SG = No. 12
Energy = -6.357 eV/atom
Density = 5.505 g/cm3

---

RbMgIn2 | PBE | relaxed

Lattice parameters (Å, degrees): 3.7335 3.7335 8.9502 90.00 90.00 90.00
Atoms (fractional coordinates):
Rb 0.0000 0.0000 0.0000
Mg 0.0000 0.0000 0.5000
In 0.5000 0.5000 0.3130
In 0.5000 0.5000 0.6870

Calculated values
SG = No. 123
Energy = -2.079 eV/atom
Density = 4.518 g/cm3

---

Bi2Te2Ir | PBE | relaxed

Lattice parameters (Å, degrees): 9.6832 9.6832 9.6832 155.68 155.68 34.67
Atoms (fractional coordinates):
Bi 0.2500 0.7500 0.5000
Bi 0.7500 0.2500 0.5000
Te 0.0733 0.0733 0.0000
Te 0.9267 0.9267 0.0000
Ir 0.5000 0.5000 0.0000

Calculated values
SG = No. 139
Energy above the most stable polymorph in this dataset = 623 meV per atom
Formation energy from raw total energies = 0.858 eV/atom
Energy = -3.723 eV/atom
Density = 9.340 g/cm3

---

LaAl4Au2 | PBE | relaxed

Lattice parameters (Å, degrees): 17.5568 4.4517 6.9292 90.00 90.00 90.00
Atoms (fractional coordinates):
La 0.1387 0.2500 0.0074
La 0.3613 0.7500 0.5074
La 0.6387 0.2500 0.4926
La 0.8613 0.7500 0.9926
Al 0.0353 0.7500 0.8365
Al 0.0685 0.2500 0.4808
Al 0.1843 0.7500 0.3218
Al 0.1890 0.7500 0.7190
Al 0.3110 0.2500 0.2190
Al 0.3157 0.2500 0.8218
Al 0.4315 0.7500 0.9808
Al 0.4647 0.2500 0.3365
Al 0.5353 0.7500 0.6635
Al 0.5685 0.2500 0.0192
Al 0.6843 0.7500 0.1782
Al 0.6890 0.7500 0.7810
Al 0.8110 0.2500 0.2810
Al 0.8157 0.2500 0.6782
Al 0.9315 0.7500 0.5192
Al 0.9647 0.2500 0.1635
Au 0.0361 0.7500 0.2506
Au 0.2164 0.2500 0.5229
Au 0.2836 0.7500 0.0229
Au 0.4639 0.2500 0.7506
Au 0.5361 0.7500 0.2494
Au 0.7164 0.2500 0.9771
Au 0.7836 0.7500 0.4771
Au 0.9639 0.2500 0.7494

Calculated values
SG = No. 62
Energy = -4.377 eV/atom
Density = 7.859 g/cm3

---

CeAlFe | PBE | relaxed

Lattice parameters (Å, degrees): 6.8353 6.2283 5.9689 90.00 109.14 90.00
Atoms (fractional coordinates):
Ce 0.2123 0.0461 0.3552
Ce 0.2123 0.4539 0.8552
Ce 0.7877 0.5461 0.1448
Ce 0.7877 0.9539 0.6448
Al 0.2994 0.5488 0.4024
Al 0.2994 0.9512 0.9024
Al 0.7006 0.0488 0.0976
Al 0.7006 0.4512 0.5976
Fe 0.4555 0.2233 0.2647
Fe 0.4555 0.2767 0.7647
Fe 0.5445 0.7233 0.2353
Fe 0.5445 0.7767 0.7353

Calculated values
SG = No. 14
Energy = -6.236 eV/atom
Density = 6.169 g/cm3

---

KGeTe3 | PBE | relaxed

Lattice parameters (Å, degrees): 5.9349 5.9349 5.9349 90.00 90.00 90.00
Atoms (fractional coordinates):
K 0.0000 0.0000 0.0000
Ge 0.5000 0.5000 0.5000
Te 0.0000 0.0000 0.5000
Te 0.0000 0.5000 0.0000
Te 0.5000 0.0000 0.0000

Calculated values
SG = No. 221
Formation energy from raw total energies = 1.031 eV/atom
Energy = -1.997 eV/atom
Density = 3.928 g/cm3

---

RhPb2Br | PBE | relaxed

Lattice parameters (Å, degrees): 7.9310 7.9310 7.9310 129.60 129.60 74.04
Atoms (fractional coordinates):
Rh 0.0000 0.0000 0.0000
Rh 0.7500 0.2500 0.5000
Pb 0.0536 0.6250 0.9286
Pb 0.3750 0.3036 0.4286
Pb 0.6964 0.1250 0.0714
Pb 0.8750 0.9464 0.5714
Br 0.2500 0.7500 0.5000
Br 0.5000 0.5000 0.0000

Calculated values
SG = No. 122
Energy above the most stable polymorph in this dataset = 187 meV per atom
Formation energy from raw total energies = 0.013 eV/atom
Energy = -4.097 eV/atom
Density = 6.868 g/cm3

---

Pa2Co4NiGe3 | PBE | relaxed

Lattice parameters (Å, degrees): 3.8540 3.8540 10.3111 90.00 90.00 90.00
Atoms (fractional coordinates):
Pa 0.0000 0.5000 0.2398
Pa 0.5000 0.0000 0.7602
Co 0.0000 0.0000 0.5000
Co 0.0000 0.5000 0.8546
Co 0.5000 0.0000 0.1454
Co 0.5000 0.5000 0.5000
Ni 0.5000 0.5000 0.0000
Ge 0.0000 0.0000 0.0000
Ge 0.0000 0.5000 0.6271
Ge 0.5000 0.0000 0.3729

Calculated values
SG = No. 115
Energy = -7.182 eV/atom
Density = 10.565 g/cm3